DFT (GGA-PBE) results for a geometry-optimized K2Ni3Br8 structure.

Values from the calculation:
- final energy (eV per cell) = -84.572
- V (Å³/cell) = 767

Unit cell a=15.709 b=7.661 c=6.659 alpha=90.00 beta=106.79 gamma=90.00
Space group C2/m (No. 12)
Symmetry-distinct sites (fractional):
K1 0.239 0.000 0.171
Ni1 0.000 0.247 0.500
Ni2 0.000 0.500 0.000
Br1 0.091 0.267 0.885
Br2 0.092 0.500 0.393
Br3 0.099 0.000 0.447